one | BiAs2CBr: relaxed, PBE-GGA.

POSCAR file:
```
BiAs2CBr
1.0
4.585 0.000 0.000
0.000 4.585 0.000
0.000 0.000 4.721
Bi As C Br
1 2 1 1
Cartesian
0.000 0.000 0.000 Bi
0.000 2.292 2.360 As
2.292 0.000 2.360 As
2.292 2.292 2.360 C
2.292 2.292 0.000 Br
```

Output
The calculation puts the calculated density at 7.54 g/cm3.



two | BiAs2CBr: relaxed, PBE-GGA.

POSCAR file:
```
BiAs2CBr
1.0
5.574 0.000 0.000
0.000 5.574 0.000
0.000 0.000 5.715
Bi As C Br
1 2 1 1
Cartesian
0.000 0.000 0.000 Bi
0.000 2.787 0.000 As
2.787 0.000 0.000 As
2.787 2.787 2.857 C
0.000 0.000 2.857 Br
```

Output
The calculation puts the calculated density at 4.22 g/cm3.



How far above the most stable structure does each one sit? In meV/atom: one 0; two 1065.



one | CdBiAs2Br: relaxed, PBE-GGA.

POSCAR file:
```
CdBiAs2Br
1.0
5.226 0.000 0.000
0.000 5.226 0.000
0.000 0.000 5.286
Cd Bi As Br
1 1 2 1
Cartesian
0.000 0.000 0.000 Cd
2.613 2.613 2.643 Bi
0.000 2.613 0.000 As
2.613 0.000 0.000 As
0.000 0.000 2.643 Br
```

Output
The calculation puts the calculated density at 6.34 g/cm3.



two | CdBiAs2Br: relaxed, PBE-GGA.

POSCAR file:
```
CdBiAs2Br
1.0
5.198 0.000 0.000
0.000 5.198 0.000
0.000 0.000 5.649
Cd Bi As Br
1 1 2 1
Cartesian
0.000 0.000 0.000 Cd
2.599 2.599 0.000 Bi
0.000 2.599 2.825 As
2.599 0.000 2.825 As
2.599 2.599 2.825 Br
```

Output
The calculation puts the calculated density at 6.00 g/cm3.



How far above the most stable structure does each one sit? In meV/atom: one 0; two 425.



one | CsBiAsBr2: relaxed, PBE-GGA.

POSCAR file:
```
CsBiAsBr2
1.0
6.047 0.000 0.000
0.000 6.047 0.000
0.000 0.000 5.530
Cs Bi As Br
1 1 1 2
Cartesian
0.000 0.000 0.000 Cs
3.024 3.024 2.765 Bi
3.024 3.024 0.000 As
0.000 3.024 2.765 Br
3.024 0.000 2.765 Br
```

Output
The calculation puts the calculated density at 4.73 g/cm3.



two | CsBiAsBr2: relaxed, PBE-GGA.

POSCAR file:
```
CsBiAsBr2
1.0
6.303 0.000 0.000
0.000 6.303 0.000
0.000 0.000 6.072
Cs Bi As Br
1 1 1 2
Cartesian
0.000 0.000 0.000 Cs
3.151 3.151 3.036 Bi
0.000 0.000 3.036 As
0.000 3.151 0.000 Br
3.151 0.000 0.000 Br
```

Output
The calculation puts the calculated density at 3.97 g/cm3.



How far above the most stable structure does each one sit? In meV/atom: one 0; two 1187.



one | KBiAsBr2: relaxed, PBE-GGA.

POSCAR file:
```
KBiAsBr2
1.0
5.983 0.000 0.000
0.000 5.983 0.000
0.000 0.000 5.513
K Bi As Br
1 1 1 2
Cartesian
0.000 0.000 0.000 K
2.992 2.992 2.757 Bi
2.992 2.992 0.000 As
0.000 2.992 2.757 Br
2.992 0.000 2.757 Br
```

Output
The calculation puts the calculated density at 4.06 g/cm3.



two | KBiAsBr2: relaxed, PBE-GGA.

POSCAR file:
```
KBiAsBr2
1.0
5.757 0.000 0.000
0.000 5.757 0.000
0.000 0.000 6.147
K Bi As Br
1 1 1 2
Cartesian
0.000 0.000 0.000 K
2.878 2.878 3.074 Bi
0.000 0.000 3.074 As
0.000 2.878 0.000 Br
2.878 0.000 0.000 Br
```

Output
The calculation puts the calculated density at 3.94 g/cm3.



How far above the most stable structure does each one sit? In meV/atom: one 0; two 791.



one | NaBiAsBr2: relaxed, PBE-GGA.

POSCAR file:
```
NaBiAsBr2
1.0
5.932 0.000 0.000
0.000 5.932 0.000
0.000 0.000 5.517
Na Bi As Br
1 1 1 2
Cartesian
0.000 0.000 0.000 Na
2.966 2.966 2.759 Bi
2.966 2.966 0.000 As
0.000 2.966 2.759 Br
2.966 0.000 2.759 Br
```

Output
The calculation puts the calculated density at 3.99 g/cm3.



two | NaBiAsBr2: relaxed, PBE-GGA.

POSCAR file:
```
NaBiAsBr2
1.0
5.122 0.000 0.000
0.000 5.122 0.000
0.000 0.000 5.795
Na Bi As Br
1 1 1 2
Cartesian
0.000 0.000 0.000 Na
2.561 2.561 2.897 Bi
0.000 0.000 2.897 As
0.000 2.561 0.000 Br
2.561 0.000 0.000 Br
```

Output
The calculation puts the calculated density at 5.10 g/cm3.



How far above the most stable structure does each one sit? In meV/atom: one 0; two 366.



one | NbBiAs2Br: relaxed, PBE-GGA.

POSCAR file:
```
NbBiAs2Br
1.0
5.128 0.000 0.000
0.000 5.128 0.000
0.000 0.000 5.032
Nb Bi As Br
1 1 2 1
Cartesian
0.000 0.000 0.000 Nb
2.564 2.564 2.516 Bi
0.000 2.564 0.000 As
2.564 0.000 0.000 As
0.000 0.000 2.516 Br
```

Output
The calculation puts the calculated density at 6.67 g/cm3.



two | NbBiAs2Br: relaxed, PBE-GGA.

POSCAR file:
```
NbBiAs2Br
1.0
5.419 0.000 0.000
0.000 5.419 0.000
0.000 0.000 5.482
Nb Bi As Br
1 1 2 1
Cartesian
0.000 0.000 0.000 Nb
2.709 2.709 2.741 Bi
0.000 2.709 2.741 As
2.709 0.000 2.741 As
2.709 2.709 0.000 Br
```

Output
The calculation puts the calculated density at 5.49 g/cm3.



How far above the most stable structure does each one sit? In meV/atom: one 0; two 1029.



one | BiAs2BrO: relaxed, PBE-GGA.

POSCAR file:
```
BiAs2BrO
1.0
4.584 0.000 0.000
0.000 4.584 0.000
0.000 0.000 4.808
Bi As Br O
1 2 1 1
Cartesian
0.000 0.000 0.000 Bi
0.000 2.292 2.404 As
2.292 0.000 2.404 As
2.292 2.292 0.000 Br
2.292 2.292 2.404 O
```

Output
The calculation puts the calculated density at 7.47 g/cm3.



two | BiAs2BrO: relaxed, PBE-GGA.

POSCAR file:
```
BiAs2BrO
1.0
5.628 0.000 0.000
0.000 5.628 0.000
0.000 0.000 5.823
Bi As Br O
1 2 1 1
Cartesian
0.000 0.000 0.000 Bi
0.000 2.814 0.000 As
2.814 0.000 0.000 As
0.000 0.000 2.912 Br
2.814 2.814 2.912 O
```

Output
The calculation puts the calculated density at 4.09 g/cm3.



How far above the most stable structure does each one sit? In meV/atom: one 0; two 838.



one | BiAs2PBr: relaxed, PBE-GGA.

POSCAR file:
```
BiAs2PBr
1.0
4.961 0.000 0.000
0.000 4.961 0.000
0.000 0.000 4.898
Bi As P Br
1 2 1 1
Cartesian
0.000 0.000 0.000 Bi
0.000 2.480 2.449 As
2.480 0.000 2.449 As
2.480 2.480 2.449 P
2.480 2.480 0.000 Br
```

Output
The calculation puts the calculated density at 6.47 g/cm3.



two | BiAs2PBr: relaxed, PBE-GGA.

POSCAR file:
```
BiAs2PBr
1.0
5.643 0.000 0.000
0.000 5.643 0.000
0.000 0.000 5.622
Bi As P Br
1 2 1 1
Cartesian
0.000 0.000 0.000 Bi
0.000 2.821 0.000 As
2.821 0.000 0.000 As
2.821 2.821 2.811 P
0.000 0.000 2.811 Br
```

Output
The calculation puts the calculated density at 4.36 g/cm3.



How far above the most stable structure does each one sit? In meV/atom: one 0; two 692.



one | BiAsSBr2: relaxed, PBE-GGA.

POSCAR file:
```
BiAsSBr2
1.0
5.550 0.000 0.000
0.000 5.550 0.000
0.000 0.000 6.044
Bi As S Br
1 1 1 2
Cartesian
0.000 0.000 0.000 Bi
0.000 0.000 3.022 As
2.775 2.775 3.022 S
0.000 2.775 0.000 Br
2.775 0.000 0.000 Br
```

Output
The calculation puts the calculated density at 4.24 g/cm3.



two | BiAsSBr2: relaxed, PBE-GGA.

POSCAR file:
```
BiAsSBr2
1.0
5.052 0.000 0.000
0.000 5.052 0.000
0.000 0.000 5.157
Bi As S Br
1 1 1 2
Cartesian
0.000 0.000 0.000 Bi
2.526 2.526 0.000 As
2.526 2.526 2.579 S
0.000 2.526 2.579 Br
2.526 0.000 2.579 Br
```

Output
The calculation puts the calculated density at 6.00 g/cm3.



How far above the most stable structure does each one sit? In meV/atom: one 188; two 0.



one | ScBiAs2Br: relaxed, PBE-GGA.

POSCAR file:
```
ScBiAs2Br
1.0
5.436 0.000 0.000
0.000 5.436 0.000
0.000 0.000 5.454
Sc Bi As Br
1 1 2 1
Cartesian
0.000 0.000 0.000 Sc
2.718 2.718 2.727 Bi
0.000 2.718 2.727 As
2.718 0.000 2.727 As
2.718 2.718 0.000 Br
```

Output
The calculation puts the calculated density at 4.98 g/cm3.



two | ScBiAs2Br: relaxed, PBE-GGA.

POSCAR file:
```
ScBiAs2Br
1.0
5.277 0.000 0.000
0.000 5.277 0.000
0.000 0.000 5.018
Sc Bi As Br
1 1 2 1
Cartesian
0.000 0.000 0.000 Sc
2.638 2.638 2.509 Bi
0.000 2.638 0.000 As
2.638 0.000 0.000 As
0.000 0.000 2.509 Br
```

Output
The calculation puts the calculated density at 5.75 g/cm3.



How far above the most stable structure does each one sit? In meV/atom: one 634; two 0.



one | ScBiAsBr2: relaxed, PBE-GGA.

POSCAR file:
```
ScBiAsBr2
1.0
5.096 0.000 0.000
0.000 5.096 0.000
0.000 0.000 5.689
Sc Bi As Br
1 1 1 2
Cartesian
0.000 0.000 0.000 Sc
2.548 2.548 2.844 Bi
0.000 0.000 2.844 As
0.000 2.548 0.000 Br
2.548 0.000 0.000 Br
```

Output
The calculation puts the calculated density at 5.49 g/cm3.



two | ScBiAsBr2: relaxed, PBE-GGA.

POSCAR file:
```
ScBiAsBr2
1.0
5.613 0.000 0.000
0.000 5.613 0.000
0.000 0.000 5.595
Sc Bi As Br
1 1 1 2
Cartesian
0.000 0.000 0.000 Sc
2.807 2.807 2.798 Bi
2.807 2.807 0.000 As
0.000 2.807 2.798 Br
2.807 0.000 2.798 Br
```

Output
The calculation puts the calculated density at 4.60 g/cm3.



How far above the most stable structure does each one sit? In meV/atom: one 0; two 731.



one | BiAs2SeBr: relaxed, PBE-GGA.

POSCAR file:
```
BiAs2SeBr
1.0
5.127 0.000 0.000
0.000 5.127 0.000
0.000 0.000 5.200
Bi As Se Br
1 2 1 1
Cartesian
0.000 0.000 0.000 Bi
0.000 2.563 2.600 As
2.563 0.000 2.600 As
2.563 2.563 0.000 Se
2.563 2.563 2.600 Br
```

Output
The calculation puts the calculated density at 6.29 g/cm3.



two | BiAs2SeBr: relaxed, PBE-GGA.

POSCAR file:
```
BiAs2SeBr
1.0
5.610 0.000 0.000
0.000 5.610 0.000
0.000 0.000 5.469
Bi As Se Br
1 2 1 1
Cartesian
0.000 0.000 0.000 Bi
0.000 2.805 0.000 As
2.805 0.000 0.000 As
2.805 2.805 2.734 Se
0.000 0.000 2.734 Br
```

Output
The calculation puts the calculated density at 5.00 g/cm3.



How far above the most stable structure does each one sit? In meV/atom: one 0; two 11.



one | BiAs2SeBr: relaxed, PBE-GGA.

POSCAR file:
```
BiAs2SeBr
1.0
5.666 0.000 0.000
0.000 5.666 0.000
0.000 0.000 5.421
Bi As Se Br
1 2 1 1
Cartesian
0.000 0.000 0.000 Bi
0.000 2.833 0.000 As
2.833 0.000 0.000 As
0.000 0.000 2.711 Se
2.833 2.833 2.711 Br
```

Output
The calculation puts the calculated density at 4.94 g/cm3.



two | BiAs2SeBr: relaxed, PBE-GGA.

POSCAR file:
```
BiAs2SeBr
1.0
5.000 0.000 0.000
0.000 5.000 0.000
0.000 0.000 6.001
Bi As Se Br
1 2 1 1
Cartesian
0.000 0.000 0.000 Bi
0.000 2.500 3.000 As
2.500 0.000 3.000 As
2.500 2.500 0.000 Se
0.000 0.000 3.000 Br
```

Output
The calculation puts the calculated density at 5.73 g/cm3.



How far above the most stable structure does each one sit? In meV/atom: one 0; two 224.



one | BiAsSeBr2: relaxed, PBE-GGA.

POSCAR file:
```
BiAsSeBr2
1.0
5.164 0.000 0.000
0.000 5.164 0.000
0.000 0.000 5.440
Bi As Se Br
1 1 1 2
Cartesian
0.000 0.000 0.000 Bi
2.582 2.582 0.000 As
2.582 2.582 2.720 Se
0.000 2.582 2.720 Br
2.582 0.000 2.720 Br
```

Output
The calculation puts the calculated density at 5.98 g/cm3.



two | BiAsSeBr2: relaxed, PBE-GGA.

POSCAR file:
```
BiAsSeBr2
1.0
5.637 0.000 0.000
0.000 5.637 0.000
0.000 0.000 5.809
Bi As Se Br
1 1 1 2
Cartesian
0.000 0.000 0.000 Bi
2.818 2.818 2.905 As
0.000 0.000 2.905 Se
0.000 2.818 0.000 Br
2.818 0.000 0.000 Br
```

Output
The calculation puts the calculated density at 4.70 g/cm3.



How far above the most stable structure does each one sit? In meV/atom: one 93; two 0.